[1]
First-principles (PBE) data for a geometry-optimized CaGa7Ag5 structure, as listed in the Alexandria database.

Values from the calculation:
Size of the total moment ... 0.00 μB/cell
Space group ... Imm2

POSCAR file:
```
CaGa7Ag5
1.0
-1.740 4.103 3.429
-5.156 -2.121 4.531
3.921 0.502 5.999
Ca Ga Ag
1 7 5
Direct
0.000 0.000 0.000
0.639 0.361 0.361
0.351 0.649 0.649
0.995 0.361 0.649
0.995 0.649 0.361
0.279 0.221 0.221
0.506 0.792 0.196
0.506 0.196 0.792
0.503 0.003 0.490
0.004 0.003 0.490
0.503 0.490 0.003
0.004 0.490 0.003
0.714 0.786 0.786
```

=====

[2]
First-principles (PBE) data for a geometry-optimized Ca2GaAg6 structure, as listed in the Alexandria database.

Values from the calculation:
Size of the total moment ... 0.00 μB/cell
Space group ... C2/m

POSCAR file:
```
Ca2GaAg6
1.0
7.200 0.000 0.713
0.000 5.887 0.000
1.552 0.000 9.237
Ca Ga Ag
4 2 12
Direct
0.923 0.500 0.711
0.577 0.000 0.789
0.423 0.000 0.211
0.077 0.500 0.289
0.500 0.500 0.000
0.000 0.000 0.500
0.949 0.000 0.227
0.701 0.750 0.478
0.799 0.751 0.022
0.701 0.251 0.478
0.799 0.250 0.022
0.551 0.500 0.273
0.051 0.000 0.773
0.299 0.250 0.522
0.201 0.249 0.978
0.299 0.749 0.522
0.201 0.750 0.978
0.449 0.500 0.727
```

=====

[3]
First-principles (PBE) data for a geometry-optimized Ca3Ga9Ag2 structure, as listed in the Alexandria database.

Values from the calculation:
Size of the total moment ... 0.00 μB/cell
Space group ... Immm

POSCAR file:
```
Ca3Ga9Ag2
1.0
4.421 0.000 0.000
2.211 8.099 0.234
2.211 2.063 7.836
Ca Ga Ag
3 9 2
Direct
0.000 0.000 0.000
0.701 0.299 0.299
0.299 0.701 0.701
0.000 0.500 0.500
0.658 0.974 0.709
0.342 0.026 0.291
0.658 0.709 0.974
0.342 0.291 0.026
0.854 0.866 0.425
0.146 0.134 0.575
0.854 0.425 0.866
0.146 0.575 0.134
0.500 0.317 0.683
0.500 0.683 0.317
```

=====

[4]
First-principles (PBE) data for a geometry-optimized Ca5Ga2Ag2 structure, as listed in the Alexandria database.

Values from the calculation:
Size of the total moment ... 0.00 μB/cell
Space group ... Cmce

POSCAR file:
```
Ca5Ga2Ag2
1.0
7.526 0.000 2.732
0.000 8.095 0.000
1.073 0.000 8.777
Ca Ga Ag
10 4 4
Direct
0.000 0.000 0.000
0.500 0.500 0.000
0.459 0.172 0.730
0.811 0.828 0.730
0.311 0.672 0.730
0.959 0.328 0.730
0.541 0.828 0.270
0.189 0.172 0.270
0.689 0.328 0.270
0.041 0.672 0.270
0.114 0.386 0.000
0.886 0.614 0.000
0.386 0.886 0.000
0.614 0.114 0.000
0.207 0.000 0.587
0.707 0.500 0.587
0.793 0.000 0.413
0.293 0.500 0.413
```

=====

[5]
First-principles (PBE) data for a geometry-optimized Ca3Ga2Ag structure, as listed in the Alexandria database.

Values from the calculation:
Size of the total moment ... 0.00 μB/cell
Energy above the lowest structure with this stoichiometry ... 0 meV per atom
Space group ... Cmmm

POSCAR file:
```
Ca3Ga2Ag
1.0
3.737 0.000 0.000
0.000 4.912 -1.626
0.000 -0.015 8.186
Ca Ga Ag
3 2 1
Direct
0.500 0.500 0.000
0.500 0.833 0.666
0.500 0.167 0.334
0.000 0.331 0.662
0.000 0.669 0.338
0.000 0.000 0.000
```

=====

[6]
First-principles (PBE) data for a geometry-optimized Ca3Ga2Ag7 structure, as listed in the Alexandria database.

Values from the calculation:
Size of the total moment ... 0.00 μB/cell
Space group ... R-3m

POSCAR file:
```
Ca3Ga2Ag7
1.0
-2.489 -3.628 3.702
3.219 -3.693 3.011
1.110 3.681 8.820
Ca Ga Ag
3 2 7
Direct
0.000 0.000 0.000
0.858 0.858 0.427
0.142 0.142 0.573
0.668 0.668 0.997
0.332 0.332 0.003
0.500 0.500 0.500
0.921 0.418 0.243
0.418 0.921 0.243
0.418 0.418 0.243
0.079 0.582 0.757
0.582 0.582 0.757
0.582 0.079 0.757
```

=====

[7]
First-principles (PBE) data for a geometry-optimized CaGa3Ag2 structure, as listed in the Alexandria database.

Values from the calculation:
Size of the total moment ... 0.00 μB/cell
Energy above the lowest structure with this stoichiometry ... 0 meV per atom
Space group ... P6/mmm

POSCAR file:
```
CaGa3Ag2
1.0
-2.195 0.113 -3.882
2.939 -4.347 -1.788
-4.785 -0.804 2.682
Ca Ga Ag
1 3 2
Direct
0.000 0.001 0.000
0.500 0.001 0.500
0.500 0.501 0.500
0.500 0.501 0.000
0.000 0.335 0.667
0.000 0.668 0.333
```

=====

[8]
First-principles (PBE) data for a geometry-optimized Ca3Ga6Ag20 structure, as listed in the Alexandria database.

Values from the calculation:
Size of the total moment ... 0.00 μB/cell
Space group ... Fm-3m

POSCAR file:
```
Ca3Ga6Ag20
1.0
8.070 0.000 4.659
2.690 7.608 4.659
0.000 0.000 9.318
Ca Ga Ag
3 6 20
Direct
0.750 0.750 0.750
0.250 0.250 0.250
0.000 0.000 0.000
0.264 0.736 0.736
0.736 0.264 0.264
0.264 0.264 0.736
0.736 0.264 0.736
0.264 0.736 0.264
0.736 0.736 0.264
0.383 0.383 0.850
0.150 0.617 0.617
0.649 0.000 0.000
0.649 0.351 0.000
0.000 0.000 0.649
0.383 0.850 0.383
0.000 0.351 0.649
0.649 0.000 0.351
0.000 0.649 0.000
0.000 0.000 0.351
0.351 0.000 0.649
0.000 0.351 0.000
0.351 0.649 0.000
0.351 0.000 0.000
0.383 0.383 0.383
0.617 0.617 0.150
0.617 0.617 0.617
0.617 0.150 0.617
0.850 0.383 0.383
0.000 0.649 0.351
```

=====

[9]
First-principles (PBE) data for a geometry-optimized Ca2GaAg structure, as listed in the Alexandria database.

Values from the calculation:
Size of the total moment ... 0.00 μB/cell
Space group ... Amm2

POSCAR file:
```
Ca2GaAg
1.0
-3.228 -4.885 1.812
5.610 2.445 0.337
-1.197 2.218 3.846
Ca Ga Ag
2 1 1
Direct
0.355 0.645 0.000
0.647 0.353 0.500
0.931 0.069 0.500
0.067 0.933 0.000
```

=====

[10]
First-principles (PBE) data for a geometry-optimized Ca2GaAg3 structure, as listed in the Alexandria database.

Values from the calculation:
Size of the total moment ... 0.00 μB/cell
Energy above the lowest structure with this stoichiometry ... 32 meV per atom
Space group ... Fmmm

POSCAR file:
```
Ca2GaAg3
1.0
-4.632 -2.424 -2.859
1.608 -5.661 -0.933
-1.802 1.920 9.065
Ca Ga Ag
4 2 6
Direct
0.750 0.250 0.500
0.754 0.246 0.000
0.250 0.750 0.500
0.246 0.754 0.000
0.667 0.667 0.335
0.333 0.333 0.665
0.828 0.828 0.171
0.657 0.657 0.829
0.172 0.172 0.829
0.343 0.343 0.171
0.171 0.171 0.342
0.829 0.829 0.658
```

=====

[11]
First-principles (PBE) data for a geometry-optimized Ca4GaAg3 structure, as listed in the Alexandria database.

Values from the calculation:
Size of the total moment ... 0.00 μB/cell
Energy above the lowest structure with this stoichiometry ... 7 meV per atom
Space group ... P4/mmm

POSCAR file:
```
Ca4GaAg3
1.0
-2.057 -0.677 -2.999
-1.851 -2.609 1.858
-9.873 10.190 4.470
Ca Ag Ga
4 3 1
Direct
0.000 0.000 0.878
0.000 0.000 0.122
0.000 0.000 0.375
0.000 0.000 0.625
0.500 0.500 0.248
0.500 0.500 0.500
0.500 0.500 0.752
0.500 0.500 0.000
```

=====

[12]
First-principles (PBE) data for a geometry-optimized Ca2GaAg3 structure, as listed in the Alexandria database.

Values from the calculation:
Size of the total moment ... 0.00 μB/cell
Energy above the lowest structure with this stoichiometry ... 0 meV per atom
Space group ... Cm

POSCAR file:
```
Ca2GaAg3
1.0
4.340 0.000 1.817
1.957 5.452 1.418
0.088 -0.121 5.880
Ca Ga Ag
2 1 3
Direct
0.547 0.198 0.708
0.449 0.800 0.302
0.171 0.388 0.271
0.850 0.606 0.693
0.824 0.231 0.120
0.158 0.776 0.907
```

=====

The evaluated DOS(E_F) for the records listed, in turn: 4.37 6.41 1.87 12.11 3.46 9.88 2.03 4.72 2.95 8.01 6.49 2.96 states/eV per cell.
The evaluated electronic total energy for the records listed, in turn: -3.00 -2.90 -3.18 -2.74 -2.88 -2.91 -3.06 -2.88 -2.84 -2.91 -2.79 -2.94 eV per atom.